VASP calculation (PBE-GGA) on an optimized crystal structure of LiNdGd2.

```
LiNdGd2
1.0
7.869 0.000 0.000
0.000 7.869 0.000
0.000 0.000 7.869
Li Nd Gd
4 4 8
Direct
0.000 0.000 0.000
0.000 0.500 0.500
0.500 0.000 0.500
0.500 0.500 0.000
0.000 0.000 0.500
0.000 0.500 0.000
0.500 0.000 0.000
0.500 0.500 0.500
0.250 0.250 0.250
0.250 0.250 0.750
0.250 0.750 0.250
0.250 0.750 0.750
0.750 0.250 0.250
0.750 0.250 0.750
0.750 0.750 0.250
0.750 0.750 0.750
```

Calculated values
As for the total energy: -34.1 eV/f.u. The value obtained for the formation energy is 190 meV per atom. As for the distance to the lowest polymorph of the same formula: 127 meV per atom. For the calculated volume, the calculation gives 30.46 A^3/atom.